# MgZnFe4O8 | Alexandria | PBE+U | optimized geometry
data_MgZnFe4O8
_cell_length_a 5.902
_cell_length_b 5.902
_cell_length_c 5.902
_cell_angle_alpha 59.86
_cell_angle_beta 59.86
_cell_angle_gamma 59.86
_space_group_name_H-M_alt 'P 1'
_space_group_IT_number 1
loop_
_space_group_symop_operation_xyz
'x,y,z'
loop_
_atom_site_label
_atom_site_type_symbol
_atom_site_fract_x
_atom_site_fract_y
_atom_site_fract_z
Mg1 Mg 0.625 0.625 0.625
Zn1 Zn 0.006 0.006 0.006
Fe1 Fe 0.626 0.121 0.626
Fe2 Fe 0.121 0.626 0.626
Fe3 Fe 0.626 0.626 0.121
Fe4 Fe 0.245 0.245 0.245
O1 O 0.865 0.865 0.865
O2 O 0.868 0.414 0.868
O3 O 0.414 0.868 0.868
O4 O 0.868 0.868 0.414
O5 O 0.382 0.382 0.382
O6 O 0.378 0.847 0.378
O7 O 0.847 0.378 0.378
O8 O 0.378 0.378 0.847
# **Electronic total energy**: -5.991 eV per atom
# **Crystal system**: trigonal